# 1
A relaxed structure of TcNiPb2, computed with PBE-GGA.

Values from the calculation:
The calculation puts the theoretical density at 10.752 g/cm³. For the total magnetization, the calculation gives 0.0 μB/cell. The electronic total energy is -5.338 eV/atom. The formation energy comes out at 553 meV per atom. Its energy above the most stable polymorph in this dataset is 202 meV per atom.

Unit cell a=3.141 b=3.141 c=30.969 alpha=90.00 beta=90.00 gamma=120.00
Fractional coordinates of all 12 atoms:
1 Tc 0.000 0.000 0.000
2 Tc 0.333 0.667 0.667
3 Tc 0.667 0.333 0.333
4 Ni 0.000 0.000 0.722
5 Ni 0.333 0.667 0.388
6 Ni 0.667 0.333 0.055
7 Pb 0.000 0.000 0.255
8 Pb 0.000 0.000 0.463
9 Pb 0.333 0.667 0.129
10 Pb 0.333 0.667 0.922
11 Pb 0.667 0.333 0.588
12 Pb 0.667 0.333 0.796



# 2
A relaxed structure of TcNiPb2, computed with PBE-GGA.

Values from the calculation:
The calculation puts the theoretical density at 12.281 g/cm³. For the total magnetization, the calculation gives 1.8 μB/cell. The electronic total energy is -5.263 eV/atom. The formation energy comes out at 628 meV per atom. Its energy above the most stable polymorph in this dataset is 277 meV per atom.

Unit cell a=3.945 b=3.945 c=9.925 alpha=90.00 beta=90.00 gamma=90.00
Fractional coordinates of all 8 atoms:
1 Tc 0.000 0.000 0.000
2 Tc 0.500 0.500 0.500
3 Ni 0.000 0.500 0.750
4 Ni 0.500 0.000 0.250
5 Pb 0.000 0.000 0.500
6 Pb 0.000 0.500 0.250
7 Pb 0.500 0.000 0.750
8 Pb 0.500 0.500 0.000



# 3
A relaxed structure of TcNi2Pb, computed with PBE-GGA.

Values from the calculation:
The calculation puts the theoretical density at 11.635 g/cm³. For the total magnetization, the calculation gives 1.8 μB/cell. The electronic total energy is -5.944 eV/atom. The formation energy comes out at 465 meV per atom.

Unit cell a=5.535 b=7.410 c=2.941 alpha=90.00 beta=90.00 gamma=90.00
Fractional coordinates of all 8 atoms:
1 Tc 0.000 0.000 0.000
2 Tc 0.500 0.500 0.000
3 Ni 0.250 0.250 0.500
4 Ni 0.250 0.750 0.500
5 Ni 0.750 0.250 0.500
6 Ni 0.750 0.750 0.500
7 Pb 0.000 0.500 0.000
8 Pb 0.500 0.000 0.000



# 4
A relaxed structure of TcNiPb2, computed with PBE-GGA.

Values from the calculation:
The calculation puts the theoretical density at 12.044 g/cm³. For the total magnetization, the calculation gives 1.8 μB/cell. The electronic total energy is -5.232 eV/atom. The formation energy comes out at 659 meV per atom. Its energy above the most stable polymorph in this dataset is 308 meV per atom.

Unit cell a=8.583 b=3.337 c=5.677 alpha=90.00 beta=104.39 gamma=90.00
Fractional coordinates of all 8 atoms:
1 Tc 0.000 0.000 0.000
2 Tc 0.500 0.500 0.000
3 Ni 0.000 0.500 0.500
4 Ni 0.500 0.000 0.500
5 Pb 0.245 0.000 0.745
6 Pb 0.255 0.500 0.255
7 Pb 0.745 0.500 0.745
8 Pb 0.755 0.000 0.255



# 5
A relaxed structure of TcNiPb2, computed with PBE-GGA.

Values from the calculation:
The calculation puts the theoretical density at 12.590 g/cm³. For the total magnetization, the calculation gives 0.0 μB/cell. The electronic total energy is -5.334 eV/atom. The formation energy comes out at 557 meV per atom. Its energy above the most stable polymorph in this dataset is 205 meV per atom.

Unit cell a=6.663 b=6.702 c=3.373 alpha=90.00 beta=90.00 gamma=90.00
Fractional coordinates of all 8 atoms:
1 Tc 0.000 0.000 0.000
2 Tc 0.500 0.500 0.000
3 Ni 0.000 0.500 0.000
4 Ni 0.500 0.000 0.000
5 Pb 0.250 0.250 0.500
6 Pb 0.250 0.750 0.500
7 Pb 0.750 0.250 0.500
8 Pb 0.750 0.750 0.500



# 6
A relaxed structure of TcNiPb3, computed with PBE-GGA.

Values from the calculation:
The calculation puts the theoretical density at 9.804 g/cm³. For the total magnetization, the calculation gives 3.5 μB/cell. The electronic total energy is -4.562 eV/atom. The formation energy comes out at 892 meV per atom. Its energy above the most stable polymorph in this dataset is 34 meV per atom.

Unit cell a=5.089 b=5.089 c=5.089 alpha=90.00 beta=90.00 gamma=90.00
Fractional coordinates of all 5 atoms:
1 Tc 0.000 0.000 0.000
2 Ni 0.500 0.500 0.500
3 Pb 0.000 0.500 0.500
4 Pb 0.500 0.000 0.500
5 Pb 0.500 0.500 0.000



Which of these has the highest theoretical density?
number 5



What is the theoretical density in the first record?
10.752 g/cm³